Material: BeCo2
Method: DFT, GGA-PBE
State: relaxed

Lattice parameters (Å, degrees): 3.377 3.377 20.669 90.00 90.00 90.00
Space group I4_1/amd (No. 141, origin choice 2)
One atom of each set of equivalent atoms:
Be  0.000  0.250  0.293 x8
Co  0.000  0.250  0.126 x8
Co  0.000  0.250  0.789 x8


Material: Be3Co4
Method: DFT, GGA-PBE
State: relaxed

Lattice parameters (Å, degrees): 4.1881 4.1881 4.3438 90.00 90.00 120.00
Space group P6/mmm (No. 191)
One atom of each set of equivalent atoms:
Be  0.0000  0.5000  0.0000 x3
Co  0.0000  0.0000  0.2516 x2
Co  0.3333  0.6667  0.5000 x2

Values from the calculation:
energy above the lowest structure with this stoichiometry: 0.058 eV/atom


Material: Be5Co
Method: DFT, GGA-PBE
State: relaxed

Lattice parameters (Å, degrees): 2.596 2.596 7.333 90.00 90.00 90.00
Space group P4/mmm (No. 123)
One atom of each set of equivalent atoms:
Be  0.000  0.000  0.000 x1
Be  0.000  0.000  0.335 x2
Be  0.500  0.500  0.167 x2
Co  0.500  0.500  0.500 x1


Material: BeCo3
Method: DFT, GGA-PBE
State: relaxed

Lattice parameters (Å, degrees): 2.4759 2.4759 7.5495 90.00 90.00 120.00
Space group P-6m2 (No. 187)
One atom of each set of equivalent atoms:
Be  0.0000  0.0000  0.0000 x1
Co  0.0000  0.0000  0.5000 x1
Co  0.6667  0.3333  0.2370 x2


Material: BeCo
Method: DFT, GGA-PBE
State: relaxed

Lattice parameters (Å, degrees): 4.697 4.697 4.697 90.00 90.00 90.00
Space group F-43m (No. 216)
One atom of each set of equivalent atoms:
Be  0.000  0.000  0.000 x4
Co  0.250  0.250  0.250 x4


Material: BeCo2
Method: DFT, GGA-PBE
State: relaxed

Lattice parameters (Å, degrees): 3.621 3.621 2.479 90.00 90.00 90.00
Space group P4/mmm (No. 123)
One atom of each set of equivalent atoms:
Be  0.000  0.000  0.000 x1
Co  0.000  0.500  0.500 x2


no.,calculated formation energy (eV/atom),density (g cm⁻³)
1,-0.06,7.15
2,-0.12,6.61
3,-0.11,3.49
4,-0.06,7.70
5,1.26,4.36
6,0.31,6.48